The following is a DFT calculation (GGA-PBE) of crystalline Ba4BiPbI2 at its relaxed geometry.

Calculated values
- uncorrected energy (eV per atom) = -3.410
- formation energy (no corrections) (meV/atom) = -1112.4
- symmetry = P2/m

a = 8.9480 Å, b = 4.9796 Å, c = 9.1040 Å
α = 90.00°, β = 108.18°, γ = 90.00°
Last column: nearest neighbours and their distance in Å.
Fractional coordinates of all 8 atoms:
Ba: 0.2409 0.0000 0.2218  2 Bi 3.49, 1 Pb 3.52, 3 I 3.78-3.80
Ba: 0.2527 0.5000 0.7710  1 Bi 3.52, 2 Pb 3.54, 3 I 3.73-3.79
Ba: 0.7473 0.5000 0.2290  1 Bi 3.52, 2 Pb 3.54, 3 I 3.73-3.79
Ba: 0.7591 0.0000 0.7782  2 Bi 3.49, 1 Pb 3.52, 3 I 3.78-3.80
Bi: 0.0000 0.5000 0.0000  6 Ba 3.49-3.52
Pb: 0.5000 0.0000 0.0000  6 Ba 3.52-3.54
I: 0.0000 0.0000 0.5000  6 Ba 3.73-3.80
I: 0.5000 0.5000 0.5000  6 Ba 3.78-3.79



The following is a DFT calculation (GGA-PBE) of crystalline Ba8Bi3PbI4 at its relaxed geometry.

Calculated values
- uncorrected energy (eV per atom) = -3.514
- formation energy (no corrections) (meV/atom) = -1205.8
- symmetry = R-3m

a = 10.3518 Å, b = 10.3518 Å, c = 10.3518 Å
α = 59.38°, β = 59.38°, γ = 59.38°
Last column: nearest neighbours and their distance in Å.
Fractional coordinates of all 16 atoms:
Ba: 0.2396 0.2396 0.2396  3 Bi 3.50, 3 I 3.80
Ba: 0.2408 0.7414 0.7414  2 Bi 3.52, 1 Pb 3.52, 3 I 3.77-3.78
Ba: 0.2586 0.2586 0.7592  2 Bi 3.52, 1 Pb 3.52, 3 I 3.77-3.78
Ba: 0.2586 0.7592 0.2586  2 Bi 3.52, 1 Pb 3.52, 3 I 3.77-3.78
Ba: 0.7414 0.2408 0.7414  2 Bi 3.52, 1 Pb 3.52, 3 I 3.77-3.78
Ba: 0.7414 0.7414 0.2408  2 Bi 3.52, 1 Pb 3.52, 3 I 3.77-3.78
Ba: 0.7592 0.2586 0.2586  2 Bi 3.52, 1 Pb 3.52, 3 I 3.77-3.78
Ba: 0.7604 0.7604 0.7604  3 Bi 3.50, 3 I 3.80
Bi: 0.0000 0.0000 0.5000  6 Ba 3.50-3.52
Bi: 0.0000 0.5000 0.0000  6 Ba 3.50-3.52
Bi: 0.5000 0.0000 0.0000  6 Ba 3.50-3.52
Pb: 0.5000 0.5000 0.5000  6 Ba 3.52
I: 0.0000 0.0000 0.0000  6 Ba 3.77
I: 0.0000 0.5000 0.5000  6 Ba 3.78-3.80
I: 0.5000 0.0000 0.5000  6 Ba 3.78-3.80
I: 0.5000 0.5000 0.0000  6 Ba 3.78-3.80



The following is a DFT calculation (GGA-PBE) of crystalline Ba4BiPdI2 at its relaxed geometry.

Calculated values
- uncorrected energy (eV per atom) = -3.596
- formation energy (no corrections) (meV/atom) = -1112.7
- symmetry = P2/m

a = 8.5893 Å, b = 4.9280 Å, c = 8.9919 Å
α = 90.00°, β = 108.03°, γ = 90.00°
Last column: nearest neighbours and their distance in Å.
Fractional coordinates of all 8 atoms:
Ba: 0.2285 0.0000 0.2131  2 Pd 3.36, 1 Bi 3.45, 1 I 3.69
Ba: 0.2418 0.5000 0.7914  1 Pd 3.20, 2 Bi 3.45
Ba: 0.7582 0.5000 0.2086  1 Pd 3.20, 2 Bi 3.45
Ba: 0.7715 0.0000 0.7869  2 Pd 3.36, 1 Bi 3.45, 1 I 3.69
Bi: 0.5000 0.0000 0.0000  6 Ba 3.45
Pd: 0.0000 0.5000 0.0000  6 Ba 3.20-3.36
I: 0.0000 0.0000 0.5000  6 Ba 3.69-3.73
I: 0.5000 0.5000 0.5000  6 Ba 3.80-3.92



The following is a DFT calculation (GGA-PBE) of crystalline BaPrBiI at its relaxed geometry.

Calculated values
- uncorrected energy (eV per atom) = -4.110
- formation energy (no corrections) (meV/atom) = -1076.2
- symmetry = R-3m

a = 16.1222 Å, b = 16.1222 Å, c = 16.1222 Å
α = 18.68°, β = 18.68°, γ = 18.68°
Last column: nearest neighbours and their distance in Å.
Fractional coordinates of all 8 atoms:
Ba: 0.0943 0.0943 0.0943  3 I 3.47, 3 Bi 3.71
Ba: 0.9057 0.9057 0.9057  3 I 3.47, 3 Bi 3.71
Pr: 0.3095 0.3095 0.3095  4 Bi 3.25-3.46
Pr: 0.6905 0.6905 0.6905  4 Bi 3.25-3.46
Bi: 0.3822 0.3822 0.3822  4 Pr 3.25-3.46
Bi: 0.6178 0.6178 0.6178  4 Pr 3.25-3.46
I: 0.2030 0.2030 0.2030  3 Ba 3.47
I: 0.7970 0.7970 0.7970  3 Ba 3.47



The following is a DFT calculation (GGA-PBE) of crystalline Ba8Bi3PtI4 at its relaxed geometry.

Calculated values
- uncorrected energy (eV per atom) = -3.691
- formation energy (no corrections) (meV/atom) = -1237.0
- symmetry = C2/m

a = 10.0510 Å, b = 10.0510 Å, c = 10.2820 Å
α = 119.25°, β = 119.25°, γ = 60.00°
Last column: nearest neighbours and their distance in Å.
Fractional coordinates of all 16 atoms:
Ba: 0.2288 0.7548 0.7124  1 Pt 3.29, 2 Bi 3.48
Ba: 0.2306 0.2306 0.7143  1 Pt 3.31, 2 Bi 3.48
Ba: 0.2452 0.7712 0.2876  1 Pt 3.29, 2 Bi 3.48
Ba: 0.2587 0.2587 0.2762  3 Bi 3.47, 3 I 3.73
Ba: 0.7413 0.7413 0.7238  3 Bi 3.47, 3 I 3.73
Ba: 0.7548 0.2288 0.7124  1 Pt 3.29, 2 Bi 3.48
Ba: 0.7694 0.7694 0.2857  1 Pt 3.31, 2 Bi 3.48
Ba: 0.7712 0.2452 0.2876  1 Pt 3.29, 2 Bi 3.48
Bi: 0.0000 0.5000 0.5000  6 Ba 3.47-3.48
Bi: 0.5000 0.0000 0.5000  6 Ba 3.47-3.48
Bi: 0.5000 0.5000 0.5000  6 Ba 3.47-3.48
Pt: 0.0000 0.0000 0.5000  6 Ba 3.29-3.31
I: 0.0000 0.0000 0.0000  6 Ba 3.73-3.74
I: 0.0000 0.5000 0.0000  6 Ba 3.73-3.74
I: 0.5000 0.0000 0.0000  6 Ba 3.73-3.74
I: 0.5000 0.5000 0.0000  6 Ba 3.88-3.91



The following is a DFT calculation (GGA-PBE) of crystalline Ba6BiPt2I3 at its relaxed geometry.

Calculated values
- uncorrected energy (eV per atom) = -3.856
- formation energy (no corrections) (meV/atom) = -1176.7
- symmetry = C2/m

a = 11.2929 Å, b = 11.2929 Å, c = 10.2922 Å
α = 107.79°, β = 107.79°, γ = 24.56°
Last column: nearest neighbours and their distance in Å.
Fractional coordinates of all 12 atoms:
Ba: 0.0174 0.0174 0.2466  1 Pt 3.21, 2 Bi 3.43
Ba: 0.3199 0.3199 0.4422  3 Pt 3.14-3.25
Ba: 0.3348 0.3348 0.8776  2 Pt 3.26, 1 Bi 3.46
Ba: 0.6652 0.6652 0.1224  2 Pt 3.26, 1 Bi 3.46
Ba: 0.6801 0.6801 0.5578  3 Pt 3.14-3.25
Ba: 0.9826 0.9826 0.7534  1 Pt 3.21, 2 Bi 3.43
Bi: 0.5000 0.5000 0.0000  6 Ba 3.43-3.46
Pt: 0.1702 0.1702 0.3395  6 Ba 3.14-3.26
Pt: 0.8298 0.8298 0.6605  6 Ba 3.14-3.26
I: 0.1626 0.1626 0.8350  6 Ba 3.69-3.84
I: 0.5000 0.5000 0.5000  6 Ba 3.65-3.83
I: 0.8374 0.8374 0.1650  6 Ba 3.69-3.84



The following is a DFT calculation (GGA-PBE) of crystalline Ba2BiRhI at its relaxed geometry.

Calculated values
- uncorrected energy (eV per atom) = -4.123
- formation energy (no corrections) (meV/atom) = -797.1
- symmetry = P4/mmm

a = 6.2945 Å, b = 6.2945 Å, c = 5.1031 Å
α = 90.00°, β = 90.00°, γ = 90.00°
Last column: nearest neighbours and their distance in Å.
Fractional coordinates of all 5 atoms:
Ba: 0.0000 0.5000 0.0000  2 Rh 3.15
Ba: 0.5000 0.0000 0.0000  2 Rh 3.15
Bi: 0.0000 0.0000 0.5000  2 Rh 2.55
Rh: 0.0000 0.0000 0.0000  2 Bi 2.55
I: 0.5000 0.5000 0.5000  8 Ba 4.05, 4 Bi 4.45



The following is a DFT calculation (GGA-PBE) of crystalline Ba6Bi2SI3 at its relaxed geometry.

Calculated values
- uncorrected energy (eV per atom) = -3.782
- formation energy (no corrections) (meV/atom) = -1441.8
- symmetry = C2/m

a = 8.6135 Å, b = 8.6135 Å, c = 8.8043 Å
α = 99.41°, β = 99.41°, γ = 119.97°
Last column: nearest neighbours and their distance in Å.
Fractional coordinates of all 12 atoms:
Ba: 0.0724 0.3891 0.2169  1 S 3.27, 2 Bi 3.46, 1 I 3.66
Ba: 0.2436 0.2436 0.7821  1 S 3.27, 2 Bi 3.46
Ba: 0.3891 0.0724 0.2169  1 S 3.27, 2 Bi 3.46, 1 I 3.66
Ba: 0.6109 0.9276 0.7831  1 S 3.27, 2 Bi 3.46, 1 I 3.66
Ba: 0.7564 0.7564 0.2179  1 S 3.27, 2 Bi 3.46
Ba: 0.9276 0.6109 0.7831  1 S 3.27, 2 Bi 3.46, 1 I 3.66
Bi: 0.3337 0.6663 0.0000  6 Ba 3.46
Bi: 0.6663 0.3337 0.0000  6 Ba 3.46
S: 0.0000 0.0000 0.0000  6 Ba 3.27
I: 0.1706 0.8294 0.5000  6 Ba 3.67-3.78
I: 0.5000 0.5000 0.5000  6 Ba 3.66-3.83
I: 0.8294 0.1706 0.5000  6 Ba 3.67-3.78



The following is a DFT calculation (GGA-PBE) of crystalline BaBiSI2 at its relaxed geometry.

Calculated values
- uncorrected energy (eV per atom) = -2.442
- formation energy (no corrections) (meV/atom) = 163.9
- symmetry = P4/mmm

a = 6.5583 Å, b = 6.5583 Å, c = 7.9138 Å
α = 90.00°, β = 90.00°, γ = 90.00°
Last column: nearest neighbours and their distance in Å.
Fractional coordinates of all 5 atoms:
Ba: 0.0000 0.0000 0.0000  4 I 3.28
Bi: 0.0000 0.0000 0.5000  2 Ba 3.96
S: 0.5000 0.5000 0.5000  4 Bi 4.64, 8 I 5.14
I: 0.0000 0.5000 0.0000  2 Ba 3.28
I: 0.5000 0.0000 0.0000  2 Ba 3.28



The following is a DFT calculation (GGA-PBE) of crystalline Ba4BiSI2 at its relaxed geometry.

Calculated values
- uncorrected energy (eV per atom) = -3.849
- formation energy (no corrections) (meV/atom) = -1499.2
- symmetry = P2/m

a = 8.4464 Å, b = 4.9147 Å, c = 8.7548 Å
α = 90.00°, β = 109.03°, γ = 90.00°
Last column: nearest neighbours and their distance in Å.
Fractional coordinates of all 8 atoms:
Ba: 0.2240 0.0000 0.2099  2 S 3.28, 1 Bi 3.41, 1 I 3.63
Ba: 0.2453 0.5000 0.7800  1 S 3.26, 2 Bi 3.42, 2 I 3.61
Ba: 0.7547 0.5000 0.2200  1 S 3.26, 2 Bi 3.42, 2 I 3.61
Ba: 0.7760 0.0000 0.7901  2 S 3.28, 1 Bi 3.41, 1 I 3.63
Bi: 0.5000 0.0000 0.0000  6 Ba 3.41-3.42
S: 0.0000 0.5000 0.0000  6 Ba 3.26-3.28
I: 0.0000 0.0000 0.5000  6 Ba 3.61-3.63
I: 0.5000 0.5000 0.5000  6 Ba 3.75



Question: Number 7 is which compound?
Answer: Ba2BiRhI